[1]
{
  "formula": "KSbSe",
  "functional": "GGA-PBE",
  "state": "relaxed",
  "mass_density_g_cm3": 4.08,
  "relative_energy_ev_per_atom": 0.2560,
  "sg": "I4mm (107)",
  "e_form_raw_mev_per_atom": -432,
  "e_tot_ry_per_atom": -0.24504,
  "lattice": [[6.665, 0.001, -0.001], [5.449, 3.838, -0.002], [1.216, 0.386, 3.817]],
  "species": ["K", "Sb", "Se"],
  "fractional_positions": [[0.999, 0.999, 0.001], [0.282, 0.282, 0.718], [0.719, 0.719, 0.281]]
}

[2]
{
  "formula": "RhSe2Cl",
  "functional": "GGA-PBE",
  "state": "relaxed",
  "mass_density_g_cm3": 5.93,
  "relative_energy_ev_per_atom": 0.1186,
  "sg": "R-3m (166)",
  "e_form_raw_mev_per_atom": -222,
  "e_tot_ry_per_atom": -0.31336,
  "lattice": [[-1.823, -5.897, 3.918], [1.547, -4.967, 5.137], [-1.441, -3.193, 6.417]],
  "species": ["Rh", "Cl", "Se", "Se"],
  "fractional_positions": [[0.750, 0.750, 0.750], [0.250, 0.250, 0.250], [0.478, 0.478, 0.478], [0.022, 0.022, 0.022]]
}

[3]
{
  "formula": "CeSmTm2Tl4",
  "functional": "GGA-PBE",
  "state": "relaxed",
  "mass_density_g_cm3": 10.75,
  "sg": "R-3m (166)",
  "e_tot_ry_per_atom": -0.28877,
  "formation_enthalpy_0k_ev_per_atom": -0.296,
  "lattice": [[5.398, 0.000, 0.000], [2.699, 4.675, 0.000], [2.699, 1.558, 8.848]],
  "species": ["Sm", "Tl", "Tm", "Ce", "Tl", "Tm", "Tl", "Tl"],
  "fractional_positions": [[0.000, 0.000, 0.000], [0.876, 0.876, 0.373], [0.250, 0.250, 0.249], [0.500, 0.500, 0.500], [0.375, 0.375, 0.876], [0.750, 0.750, 0.751], [0.124, 0.124, 0.627], [0.625, 0.625, 0.124]]
}

[4]
{
  "formula": "LaDyEr2Sc",
  "functional": "GGA-PBE",
  "state": "relaxed",
  "mass_density_g_cm3": 6.99,
  "sg": "Pmmm (47)",
  "e_tot_ry_per_atom": -0.35217,
  "formation_enthalpy_0k_ev_per_atom": 0.206,
  "lattice": [[-1.323, -3.678, -3.794], [7.530, 0.908, -3.507], [2.551, -5.188, 4.140]],
  "species": ["Dy", "Er", "La", "Sc", "La", "Dy", "Er", "Er", "Er", "Sc"],
  "fractional_positions": [[0.000, 0.500, 0.750], [0.500, 0.314, 0.500], [0.000, 0.000, 0.000], [0.500, 0.000, 0.750], [0.000, 0.000, 0.500], [0.000, 0.500, 0.250], [0.500, 0.314, 0.000], [0.500, 0.686, 0.500], [0.500, 0.686, 0.000], [0.500, 0.000, 0.250]]
}

[5]
{
  "formula": "NdHoMnGa",
  "functional": "GGA-PBE",
  "state": "relaxed",
  "mass_density_g_cm3": 7.61,
  "sg": "F-43m (216)",
  "e_tot_ry_per_atom": -0.40523,
  "formation_enthalpy_0k_ev_per_atom": -0.128,
  "lattice": [[5.116, 0.000, 0.000], [2.558, 4.430, 0.000], [2.558, 1.477, 4.177]],
  "species": ["Mn", "Nd", "Ho", "Ga"],
  "fractional_positions": [[0.000, 0.000, 0.000], [0.250, 0.250, 0.250], [0.750, 0.750, 0.750], [0.500, 0.500, 0.500]]
}

[6]
{
  "formula": "Zn8Ag3Au",
  "functional": "GGA-PBE",
  "state": "relaxed",
  "mass_density_g_cm3": 7.36,
  "relative_energy_ev_per_atom": 0.1430,
  "sg": "I-42m (121)",
  "e_tot_ry_per_atom": -0.12307,
  "formation_enthalpy_0k_ev_per_atom": 0.161,
  "lattice": [[-1.942, -1.251, -6.435], [6.566, -1.145, 1.523], [-2.526, -4.111, 4.844]],
  "species": ["Zn", "Zn", "Zn", "Zn", "Ag", "Au", "Zn", "Zn", "Ag", "Ag", "Zn", "Zn"],
  "fractional_positions": [[0.000, 0.620, 0.894], [0.498, 0.234, 0.234], [0.000, 0.264, 0.766], [0.000, 0.766, 0.264], [0.500, 0.250, 0.750], [0.000, 0.000, 0.000], [0.275, 0.380, 0.380], [0.000, 0.894, 0.620], [0.500, 0.750, 0.250], [0.000, 0.500, 0.500], [0.725, 0.106, 0.106], [0.502, 0.736, 0.736]]
}

[7]
{
  "formula": "LiFe2Ru",
  "functional": "GGA-PBE",
  "state": "relaxed",
  "mass_density_g_cm3": 7.26,
  "sg": "Pm (6)",
  "e_tot_ry_per_atom": -0.50190,
  "formation_enthalpy_0k_ev_per_atom": 0.200,
  "lattice": [[4.193, 0.000, 0.000], [0.000, 2.495, -0.096], [0.000, 0.818, 4.770]],
  "species": ["Li", "Fe", "Fe", "Ru"],
  "fractional_positions": [[0.000, 0.481, 0.493], [0.000, 0.015, 0.998], [0.500, 0.266, 0.254], [0.500, 0.738, 0.756]]
}

[8]
{
  "formula": "SrCuRuO6",
  "functional": "GGA-PBE",
  "state": "relaxed",
  "mass_density_g_cm3": 4.63,
  "sg": "C2 (5)",
  "e_form_raw_mev_per_atom": -1139,
  "e_tot_ry_per_atom": -0.44960,
  "lattice": [[5.134, 0.197, -0.113], [2.734, 4.739, -0.219], [-0.112, -0.203, 5.262]],
  "species": ["O", "O", "Ru", "O", "O", "Cu", "Sr", "O", "O"],
  "fractional_positions": [[0.995, 0.616, 0.703], [0.580, 0.050, 0.250], [0.364, 0.318, 0.500], [0.372, 0.006, 0.669], [0.995, 0.389, 0.297], [0.678, 0.661, 0.500], [0.063, 0.968, 0.000], [0.580, 0.369, 0.750], [0.372, 0.622, 0.331]]
}

[9]
{
  "formula": "PaTaPd2",
  "functional": "GGA-PBE",
  "state": "relaxed",
  "mass_density_g_cm3": 13.14,
  "sg": "R-3m (166)",
  "e_tot_ry_per_atom": -0.59418,
  "formation_enthalpy_0k_ev_per_atom": -0.151,
  "lattice": [[-0.870, -0.504, 4.459], [3.135, -1.883, 2.742], [2.448, 3.153, 3.177]],
  "species": ["Pd", "Pd", "Ta", "Pa"],
  "fractional_positions": [[0.771, 0.771, 0.687], [0.229, 0.229, 0.313], [0.500, 0.500, 0.500], [0.000, 0.000, 0.000]]
}

[10]
{
  "formula": "Na3USb3Te8",
  "functional": "GGA-PBE",
  "state": "relaxed",
  "mass_density_g_cm3": 5.41,
  "sg": "R-3m (166)",
  "e_form_raw_mev_per_atom": -472,
  "e_tot_ry_per_atom": -0.29313,
  "lattice": [[-0.691, -0.068, 8.851], [-4.211, -6.145, -4.829], [9.146, -0.409, 0.711]],
  "species": ["Na", "Na", "Te", "Te", "Sb", "Te", "Te", "Te", "Te", "U", "Na", "Te", "Te", "Sb", "Sb"],
  "fractional_positions": [[0.000, 0.000, 0.000], [0.000, 0.500, 0.000], [0.744, 0.487, 0.731], [0.256, 0.014, 0.273], [0.000, 0.500, 0.500], [0.744, 0.986, 0.727], [0.241, 0.986, 0.727], [0.759, 0.517, 0.273], [0.256, 0.513, 0.269], [0.000, 0.000, 0.500], [0.500, 0.500, 0.000], [0.759, 0.014, 0.273], [0.241, 0.483, 0.727], [0.500, 0.500, 0.500], [0.500, 0.000, 0.500]]
}

[11]
{
  "formula": "TaPb3",
  "functional": "GGA-PBE",
  "state": "relaxed",
  "mass_density_g_cm3": 12.46,
  "sg": "P-6m2 (187)",
  "e_tot_ry_per_atom": -0.39311,
  "formation_enthalpy_0k_ev_per_atom": 0.396,
  "lattice": [[3.298, 0.000, 0.000], [-1.649, 2.856, 0.000], [0.000, 0.000, 11.355]],
  "species": ["Pb", "Ta", "Pb", "Pb"],
  "fractional_positions": [[0.000, 0.000, 0.532], [0.667, 0.333, 0.750], [0.000, 0.000, 0.968], [0.667, 0.333, 0.250]]
}

[12]
{
  "formula": "Th6Te3AsSe2",
  "functional": "GGA-PBE",
  "state": "relaxed",
  "mass_density_g_cm3": 9.56,
  "sg": "C2/m (12)",
  "e_form_raw_mev_per_atom": -1273,
  "e_tot_ry_per_atom": -0.49511,
  "lattice": [[-0.416, 5.929, 4.391], [-1.128, -6.743, 2.805], [7.698, -0.318, -0.911]],
  "species": ["Th", "Th", "Te", "As", "Th", "Te", "Th", "Te", "Se", "Th", "Th", "Se"],
  "fractional_positions": [[0.406, 0.074, 0.222], [0.741, 0.741, 0.221], [0.166, 0.834, 0.500], [0.000, 0.000, 0.000], [0.594, 0.926, 0.778], [0.500, 0.500, 0.500], [0.259, 0.259, 0.779], [0.834, 0.166, 0.500], [0.333, 0.667, 0.000], [0.926, 0.594, 0.778], [0.074, 0.406, 0.222], [0.667, 0.333, 0.000]]
}

[13]
{
  "formula": "CsSiPb2O4",
  "functional": "GGA-PBE",
  "state": "relaxed",
  "mass_density_g_cm3": 7.11,
  "sg": "I-42m (121)",
  "e_form_raw_mev_per_atom": -1668,
  "e_tot_ry_per_atom": -0.43060,
  "lattice": [[6.437, 0.268, 0.000], [-0.267, 6.437, 0.000], [-3.085, -3.352, 3.598]],
  "species": ["O", "Cs", "Pb", "Pb", "O", "O", "O", "Si"],
  "fractional_positions": [[0.217, 0.217, 0.735], [0.000, 0.000, 0.000], [0.750, 0.250, 0.500], [0.250, 0.750, 0.500], [0.783, 0.482, 0.266], [0.518, 0.518, 0.735], [0.482, 0.783, 0.266], [0.500, 0.500, 0.000]]
}

[14]
{
  "formula": "LiAsSe",
  "functional": "GGA-PBE",
  "state": "relaxed",
  "mass_density_g_cm3": 4.21,
  "relative_energy_ev_per_atom": 0.3148,
  "sg": "Cm (8)",
  "e_form_raw_mev_per_atom": -275,
  "e_tot_ry_per_atom": -0.26641,
  "lattice": [[8.609, 0.112, -0.106], [8.138, 2.821, -0.097], [0.474, 0.072, 2.707]],
  "species": ["Li", "As", "Se"],
  "fractional_positions": [[0.330, 0.333, 0.670], [0.957, 0.956, 0.043], [0.713, 0.711, 0.287]]
}

[15]
{
  "formula": "Fe2WSe",
  "functional": "GGA-PBE",
  "state": "relaxed",
  "mass_density_g_cm3": 10.98,
  "sg": "Cmmm (65)",
  "e_form_raw_mev_per_atom": 419,
  "e_tot_ry_per_atom": -0.58222,
  "lattice": [[4.532, 0.008, 0.010], [-1.801, 4.158, 0.010], [-0.006, -0.009, 3.003]],
  "species": ["Fe", "Se", "W", "Fe"],
  "fractional_positions": [[0.500, 0.500, 0.000], [0.500, 0.000, 0.500], [0.000, 0.500, 0.500], [0.000, 0.000, 0.000]]
}

[16]
{
  "formula": "ZrTaC3",
  "functional": "GGA-PBE",
  "state": "relaxed",
  "mass_density_g_cm3": 7.28,
  "relative_energy_ev_per_atom": 1.0139,
  "sg": "Pm-3m (221)",
  "e_tot_ry_per_atom": -0.54893,
  "formation_enthalpy_0k_ev_per_atom": 2.146,
  "lattice": [[4.128, 0.000, 0.000], [0.000, 4.128, 0.000], [0.000, 0.000, 4.128]],
  "species": ["C", "Zr", "C", "C", "Ta"],
  "fractional_positions": [[0.000, 0.000, 0.500], [0.000, 0.000, 0.000], [0.000, 0.500, 0.000], [0.500, 0.000, 0.000], [0.500, 0.500, 0.500]]
}

[17]
{
  "formula": "U4SeS3",
  "functional": "GGA-PBE",
  "state": "relaxed",
  "mass_density_g_cm3": 11.05,
  "relative_energy_ev_per_atom": 0.0207,
  "sg": "Pm-3m (221)",
  "e_form_raw_mev_per_atom": -1252,
  "e_tot_ry_per_atom": -0.65261,
  "lattice": [[-1.108, -5.022, -2.042], [3.448, -2.261, 3.689], [-4.183, -0.534, 3.582]],
  "species": ["S", "U", "Se", "U", "U", "U", "S", "S"],
  "fractional_positions": [[0.000, 0.500, 0.500], [0.500, 0.500, 0.500], [0.000, 0.000, 0.000], [0.000, 0.500, 0.000], [0.000, 0.000, 0.500], [0.500, 0.000, 0.000], [0.500, 0.000, 0.500], [0.500, 0.500, 0.000]]
}

[18]
{
  "formula": "Ba2LaSc",
  "functional": "GGA-PBE",
  "state": "relaxed",
  "mass_density_g_cm3": 4.55,
  "relative_energy_ev_per_atom": 0.3843,
  "sg": "I-42d (122)",
  "e_tot_ry_per_atom": -0.23702,
  "formation_enthalpy_0k_ev_per_atom": 0.551,
  "lattice": [[9.647, 0.000, 0.000], [0.000, 9.647, 0.000], [4.823, 4.823, 3.599]],
  "species": ["Sc", "La", "Ba", "Ba", "Ba", "Ba", "La", "Sc"],
  "fractional_positions": [[0.500, 0.500, 0.000], [0.000, 0.000, 0.000], [0.375, 0.382, 0.750], [0.618, 0.125, 0.250], [0.132, 0.625, 0.250], [0.875, 0.868, 0.750], [0.750, 0.250, 0.500], [0.250, 0.750, 0.500]]
}

[19]
{
  "formula": "Ce2NpN4",
  "functional": "GGA-PBE",
  "state": "relaxed",
  "mass_density_g_cm3": 9.63,
  "relative_energy_ev_per_atom": 0.1677,
  "sg": "I-42d (122)",
  "e_form_raw_mev_per_atom": -1178,
  "e_tot_ry_per_atom": -0.69676,
  "lattice": [[-3.400, -4.683, 2.633], [4.968, -2.373, -3.179], [1.975, 3.798, 4.701]],
  "species": ["Np", "Ce", "Np", "N", "Ce", "N", "N", "Ce", "N", "Ce", "N", "N", "N", "N"],
  "fractional_positions": [[0.750, 0.500, 0.250], [0.499, 0.374, 0.625], [0.000, 0.000, 0.000], [0.645, 0.759, 0.001], [0.875, 0.126, 0.501], [0.636, 0.741, 0.492], [0.114, 0.356, 0.355], [0.375, 0.874, 0.749], [0.105, 0.856, 0.364], [0.251, 0.626, 0.125], [0.751, 0.259, 0.895], [0.242, 0.241, 0.886], [0.999, 0.644, 0.758], [0.508, 0.144, 0.249]]
}

[20]
{
  "formula": "Ho3Fe5S12",
  "functional": "GGA-PBE",
  "state": "relaxed",
  "mass_density_g_cm3": 5.06,
  "sg": "Ia-3d (230)",
  "e_form_raw_mev_per_atom": -878,
  "e_tot_ry_per_atom": -0.45252,
  "lattice": [[12.547, 0.000, 0.000], [-4.182, 11.829, 0.000], [-4.182, -5.915, 10.244]],
  "species": ["S", "Fe", "S", "Fe", "S", "S", "S", "Fe", "Fe", "S", "S", "Ho", "Ho", "S", "Ho", "S", "S", "S", "S", "S", "S", "S", "S", "S", "S", "S", "S", "Fe", "S", "S", "Fe", "S", "Fe", "S", "S", "Ho", "Fe", "S", "S", "Ho", "S", "Fe", "S", "S", "S", "S", "Ho", "S", "Ho", "S", "Ho", "Fe", "S", "S", "S", "Fe", "Fe", "Fe", "S", "S", "S", "Ho", "Ho", "Fe", "S", "S", "Fe", "Ho", "Fe", "S", "S", "Ho", "Fe", "S", "S", "Fe", "Fe", "Fe", "S", "S"],
  "fractional_positions": [[0.826, 0.911, 0.026], [0.500, 0.500, 0.500], [0.411, 0.026, 0.326], [0.000, 0.000, 0.000], [0.326, 0.800, 0.415], [0.585, 0.885, 0.411], [0.674, 0.200, 0.585], [0.875, 0.625, 0.750], [0.500, 0.000, 0.500], [0.915, 0.826, 0.800], [0.526, 0.326, 0.911], [0.625, 0.250, 0.375], [0.750, 0.375, 0.125], [0.415, 0.115, 0.589], [0.375, 0.750, 0.625], [0.300, 0.415, 0.826], [0.974, 0.385, 0.300], [0.089, 0.915, 0.115], [0.300, 0.885, 0.974], [0.911, 0.826, 0.526], [0.700, 0.115, 0.026], [0.800, 0.326, 0.915], [0.085, 0.174, 0.200], [0.200, 0.526, 0.615], [0.411, 0.385, 0.585], [0.911, 0.085, 0.885], [0.174, 0.085, 0.700], [0.250, 0.375, 0.625], [0.615, 0.026, 0.200], [0.174, 0.089, 0.974], [0.375, 0.250, 0.125], [0.385, 0.411, 0.085], [0.000, 0.500, 0.500], [0.026, 0.411, 0.826], [0.385, 0.974, 0.800], [0.875, 0.750, 0.125], [0.750, 0.625, 0.375], [0.526, 0.200, 0.115], [0.585, 0.700, 0.674], [0.250, 0.625, 0.875], [0.800, 0.474, 0.385], [0.500, 0.000, 0.000], [0.085, 0.911, 0.385], [0.885, 0.300, 0.474], [0.700, 0.585, 0.174], [0.974, 0.589, 0.174], [0.375, 0.625, 0.250], [0.474, 0.674, 0.089], [0.250, 0.125, 0.375], [0.089, 0.174, 0.474], [0.625, 0.375, 0.750], [0.125, 0.750, 0.375], [0.474, 0.800, 0.885], [0.885, 0.585, 0.911], [0.326, 0.526, 0.411], [0.250, 0.875, 0.125], [0.625, 0.750, 0.875], [0.625, 0.875, 0.250], [0.115, 0.700, 0.526], [0.674, 0.474, 0.589], [0.826, 0.915, 0.300], [0.750, 0.875, 0.625], [0.875, 0.125, 0.250], [0.500, 0.500, 0.000], [0.589, 0.615, 0.415], [0.915, 0.089, 0.615], [0.000, 0.000, 0.500], [0.125, 0.250, 0.875], [0.125, 0.375, 0.250], [0.026, 0.615, 0.700], [0.200, 0.674, 0.085], [0.125, 0.875, 0.750], [0.750, 0.125, 0.875], [0.115, 0.415, 0.089], [0.615, 0.589, 0.915], [0.375, 0.125, 0.750], [0.000, 0.500, 0.000], [0.875, 0.250, 0.625], [0.589, 0.974, 0.674], [0.415, 0.300, 0.326]]
}